DFT (PBE) results for an optimized crystal structure of ZrAlCd2Rh.

Unit cell a=5.118 b=4.855 c=5.118 alpha=90.00 beta=90.00 gamma=90.00
Sites, in units of the cell vectors:
Zr1 0.000 0.500 0.000
Cd1 0.000 0.000 0.500
Cd2 0.500 0.000 0.000
Rh1 0.000 0.000 0.000
Al1 0.500 0.500 0.500

Properties
D(E_F)	2.5	states/eV/f.u.
energy of formation from the pure elements	0.30	eV per atom
size of the total moment	0.000	μB per atom
crystal system	tetragonal